1.
A plane-wave DFT calculation with GGA-PBE was carried out for an optimized crystal structure of Ac2Zn3Ag6.

Properties
The formation energy comes out at -0.183 eV per atom. Its space group is P-62m. The calculation puts the total energy at -2.833 eV per atom. Its size of the total moment is 0.00 Bohr magnetons per cell. The value obtained for the calculated volume is 22.768 Å³/atom.

Cell and atoms, written as POSCAR:
```
Ac2Zn3Ag6
1.0
4.476 0.000 0.000
0.000 8.038 0.000
0.000 -4.019 6.961
Ac Zn Ag
2 3 6
direct
0.000 0.667 0.333
0.000 0.333 0.667
0.500 0.379 0.379
0.500 0.621 0.000
0.500 0.000 0.621
0.500 0.714 0.714
0.500 0.000 0.286
0.000 0.202 0.202
0.000 0.798 0.000
0.500 0.286 0.000
0.000 0.000 0.798
```


2.
A plane-wave DFT calculation with GGA-PBE was carried out for an optimized crystal structure of TmSc4Cd5.

Properties
The formation energy comes out at -0.293 eV per atom. Its space group is P4/mmm. The calculation puts the total energy at -3.730 eV per atom. Its size of the total moment is 0.00 Bohr magnetons per cell. The value obtained for the calculated volume is 22.738 Å³/atom.

Cell and atoms, written as POSCAR:
```
TmSc4Cd5
1.0
-2.167 -1.721 2.249
0.399 -2.989 -1.903
14.058 -4.535 10.077
Tm Sc Cd
1 4 5
direct
0.000 0.000 0.000
0.000 0.000 0.206
0.000 0.000 0.402
0.000 0.000 0.598
0.000 0.000 0.794
0.500 0.500 0.109
0.500 0.500 0.304
0.500 0.500 0.500
0.500 0.500 0.696
0.500 0.500 0.891
```


3.
A plane-wave DFT calculation with GGA-PBE was carried out for an optimized crystal structure of Te2IrI.

Properties
Its space group is Fm-3m. The calculation puts the total energy at -3.312 eV per atom. Its size of the total moment is 0.00 Bohr magnetons per cell. The value obtained for the calculated volume is 23.875 Å³/atom. Its offset from the most stable computed form is 1.042 eV per atom.

Cell and atoms, written as POSCAR:
```
Te2IrI
1.0
0.000 3.628 3.628
3.628 0.000 3.628
3.628 3.628 0.000
I Ir Te
1 1 2
direct
0.000 0.000 0.000
0.500 0.500 0.500
0.250 0.250 0.250
0.750 0.750 0.750
```


4.
A plane-wave DFT calculation with GGA-PBE was carried out for an optimized crystal structure of Y2MgIn.

Properties
The formation energy comes out at -0.119 eV per atom. Its space group is R3m. The calculation puts the total energy at -4.434 eV per atom. Its size of the total moment is 0.02 Bohr magnetons per cell. The value obtained for the calculated volume is 29.182 Å³/atom.

Cell and atoms, written as POSCAR:
```
Y2MgIn
1.0
3.604 0.000 0.000
1.802 3.121 0.000
1.802 1.040 10.378
Y Mg In
2 1 1
direct
0.079 0.079 0.763
0.254 0.254 0.238
0.500 0.500 0.499
0.667 0.667 0.000
```


5.
A plane-wave DFT calculation with GGA-PBE was carried out for an optimized crystal structure of RbHgIBr.

Properties
Its space group is F-43m. The calculation puts the total energy at -1.831 eV per atom. Its size of the total moment is 0.00 Bohr magnetons per cell. The value obtained for the calculated volume is 36.183 Å³/atom.

Cell and atoms, written as POSCAR:
```
RbHgIBr
1.0
-4.024 -0.826 -4.226
-1.951 -5.432 -1.190
-5.507 -1.533 1.434
I Br Hg Rb
1 1 1 1
direct
0.750 0.750 0.750
0.250 0.250 0.250
0.000 0.000 0.000
0.500 0.500 0.500
```


6.
A plane-wave DFT calculation with GGA-PBE was carried out for an optimized crystal structure of MgTaC3.

Properties
The formation energy comes out at 2.580 eV per atom. Its space group is Pm-3m. The calculation puts the total energy at -5.643 eV per atom. Its size of the total moment is 0.00 Bohr magnetons per cell. The value obtained for the calculated volume is 11.590 Å³/atom. Its offset from the most stable computed form is 1.111 eV per atom.

Cell and atoms, written as POSCAR:
```
MgTaC3
1.0
-0.851 0.921 -3.661
-3.421 -1.774 0.349
-1.596 3.313 1.204
Mg C Ta
1 3 1
direct
0.000 0.000 0.000
0.000 0.500 0.000
0.000 0.000 0.500
0.500 0.000 0.000
0.500 0.500 0.500
```


7.
A plane-wave DFT calculation with GGA-PBE was carried out for an optimized crystal structure of Tl2Zn2Pd.

Properties
The formation energy comes out at 0.225 eV per atom. Its space group is P4/mbm. The calculation puts the total energy at -2.270 eV per atom. Its size of the total moment is 0.00 Bohr magnetons per cell. The value obtained for the calculated volume is 22.480 Å³/atom. Its offset from the most stable computed form is 0.188 eV per atom.

Cell and atoms, written as POSCAR:
```
Tl2Zn2Pd
1.0
-1.409 -6.312 -3.597
7.010 -2.143 1.015
-1.058 -1.783 3.543
Tl Zn Pd
4 4 2
direct
0.330 0.830 0.000
0.830 0.670 0.000
0.670 0.170 0.000
0.170 0.330 0.000
0.136 0.636 0.500
0.636 0.864 0.500
0.864 0.364 0.500
0.364 0.136 0.500
0.000 0.000 0.000
0.500 0.500 0.000
```


8.
A plane-wave DFT calculation with GGA-PBE was carried out for an optimized crystal structure of Mg2Al2InRh5.

Properties
The formation energy comes out at -0.570 eV per atom. Its space group is P4/mbm. The calculation puts the total energy at -5.587 eV per atom. Its size of the total moment is 0.00 Bohr magnetons per cell. The value obtained for the calculated volume is 16.183 Å³/atom.

Cell and atoms, written as POSCAR:
```
Mg2Al2InRh5
1.0
-1.247 2.225 -2.007
-6.218 -6.861 -3.743
-6.809 2.408 6.899
Mg Al In Rh
4 4 2 10
direct
0.000 0.672 0.172
0.000 0.328 0.828
0.000 0.172 0.328
0.000 0.828 0.672
0.000 0.128 0.628
0.000 0.872 0.372
0.000 0.628 0.872
0.000 0.372 0.128
0.000 0.000 0.000
0.000 0.500 0.500
0.500 0.204 0.072
0.500 0.796 0.928
0.500 0.072 0.796
0.500 0.704 0.428
0.500 0.928 0.204
0.500 0.296 0.572
0.500 0.572 0.704
0.500 0.428 0.296
0.500 0.500 0.000
0.500 0.000 0.500
```